The following is a PBE calculation of MnHSe2 after structural relaxation, from the Alexandria database.

Values from the calculation:
polymorph energy (0 for the lowest one) = 0.3083 eV/atom
magnetization = 2.32 μB per formula unit

Cell: 5.924 3.299 6.545 Å, 90.00 110.78 90.00°
Space group C2/m (No. 12)
Unique sites:
Mn: 0.000 0.000 0.000 [2 per cell]
H: 0.000 0.500 0.500 [2 per cell]
Se: 0.229 0.000 0.753 [4 per cell]

---

The following is a PBE calculation of MnHSe2 after structural relaxation, from the Alexandria database.

Values from the calculation:
polymorph energy (0 for the lowest one) = 0.1605 eV/atom
magnetization = 4.00 μB per formula unit

Cell: 7.015 3.488 12.663 Å, 90.00 90.00 90.00°
Space group Pnma (No. 62)
Unique sites:
Mn: 0.089 0.250 0.112 [4 per cell]
H: 0.030 0.250 0.682 [4 per cell]
Se: 0.082 0.750 0.709 [4 per cell]
Se: 0.213 0.750 0.991 [4 per cell]

---

The following is a PBE calculation of MnHSe2 after structural relaxation, from the Alexandria database.

Values from the calculation:
polymorph energy (0 for the lowest one) = 0.1220 eV/atom
magnetization = 2.00 μB per formula unit

Cell: 5.398 10.860 5.710 Å, 90.00 90.00 90.00°
Space group Ima2 (No. 46)
Unique sites:
Mn: 0.000 0.000 0.000 [4 per cell]
H: 0.250 0.025 0.534 [4 per cell]
Se: 0.250 0.117 0.741 [4 per cell]
Se: 0.250 0.617 0.734 [4 per cell]

---

The following is a PBE calculation of MnHSe2 after structural relaxation, from the Alexandria database.

Values from the calculation:
polymorph energy (0 for the lowest one) = 0.1729 eV/atom
magnetization = 0.00 μB per formula unit

Cell: 6.811 4.732 11.627 Å, 90.00 125.79 90.00°
Space group P2_1/c (No. 14)
Unique sites:
Mn: 0.000 0.250 0.250 [4 per cell]
H: 0.127 0.001 0.378 [4 per cell]
Se: 0.142 0.000 0.132 [4 per cell]
Se: 0.377 0.000 0.868 [4 per cell]

---

The following is a PBE calculation of MnHSe2 after structural relaxation, from the Alexandria database.

Values from the calculation:
polymorph energy (0 for the lowest one) = 0.4276 eV/atom
magnetization = 0.00 μB per formula unit

Cell: 3.1641 3.1641 7.7153 Å, 90.00 90.00 120.00°
Space group P3m1 (No. 156)
Unique sites:
Mn: 0.0000 0.0000 0.0000 [1 per cell]
H: 0.6667 0.3333 0.3540 [1 per cell]
Se: 0.0000 0.0000 0.3028 [1 per cell]
Se: 0.3333 0.6667 0.8112 [1 per cell]

---

The following is a PBE calculation of MnHSe2 after structural relaxation, from the Alexandria database.

Values from the calculation:
polymorph energy (0 for the lowest one) = 0.1317 eV/atom
magnetization = 0.00 μB per formula unit

Cell: 12.942 3.670 5.745 Å, 90.00 101.81 90.00°
Space group Cm (No. 8)
Unique sites:
Mn: 0.000 0.000 0.000 [2 per cell]
Mn: 0.009 0.500 0.399 [2 per cell]
H: 0.308 0.500 0.511 [2 per cell]
H: 0.379 0.500 0.998 [2 per cell]
Se: 0.102 0.500 0.844 [2 per cell]
Se: 0.126 0.000 0.351 [2 per cell]
Se: 0.381 0.000 0.062 [2 per cell]
Se: 0.428 0.500 0.573 [2 per cell]

---

The following is a PBE calculation of MnHSe2 after structural relaxation, from the Alexandria database.

Values from the calculation:
polymorph energy (0 for the lowest one) = 0.0144 eV/atom
magnetization = 3.98 μB per formula unit

Cell: 3.8109 3.8109 18.6605 Å, 90.00 90.00 120.00°
Space group R-3m (No. 166, hexagonal axes)
Unique sites:
Mn: 0.0000 0.0000 0.0000 [3 per cell]
H: 0.0000 0.0000 0.5000 [3 per cell]
Se: 0.0000 0.0000 0.4056 [6 per cell]

---

The following is a PBE calculation of MnHSe2 after structural relaxation, from the Alexandria database.

Values from the calculation:
polymorph energy (0 for the lowest one) = 0.0297 eV/atom
magnetization = 4.00 μB per formula unit

Cell: 3.8001 3.8001 6.3284 Å, 90.00 90.00 120.00°
Space group P3m1 (No. 156)
Unique sites:
Mn: 0.0000 0.0000 0.0000 [1 per cell]
H: 0.3333 0.6667 0.5375 [1 per cell]
Se: 0.3333 0.6667 0.7760 [1 per cell]
Se: 0.6667 0.3333 0.2051 [1 per cell]

---

The following is a PBE calculation of MnSi2H after structural relaxation, from the Alexandria database.

Values from the calculation:
polymorph energy (0 for the lowest one) = 0.0000 eV/atom
magnetization = 2.21 μB per formula unit

Cell: 5.618 5.618 5.618 Å, 90.00 90.00 90.00°
Space group Fm-3m (No. 225)
Unique sites:
Mn: 0.000 0.000 0.000 [4 per cell]
Si: 0.250 0.250 0.250 [8 per cell]
H: 0.000 0.000 0.500 [4 per cell]

---

The following is a PBE calculation of MnSi3H after structural relaxation, from the Alexandria database.

Values from the calculation:
polymorph energy (0 for the lowest one) = 0.0000 eV/atom
magnetization = 0.00 μB per formula unit

Cell: 4.315 4.315 4.315 Å, 90.00 90.00 90.00°
Space group Pm-3m (No. 221)
Unique sites:
Mn: 0.000 0.000 0.000 [1 per cell]
Si: 0.000 0.000 0.500 [3 per cell]
H: 0.500 0.500 0.500 [1 per cell]

---

The following is a PBE calculation of MnSi2H2 after structural relaxation, from the Alexandria database.

Values from the calculation:
polymorph energy (0 for the lowest one) = 0.3740 eV/atom
magnetization = 2.95 μB per formula unit

Cell: 3.439 3.439 4.960 Å, 90.00 90.00 90.00°
Space group P4/mmm (No. 123)
Unique sites:
Mn: 0.000 0.000 0.000 [1 per cell]
Si: 0.000 0.000 0.500 [1 per cell]
Si: 0.500 0.500 0.500 [1 per cell]
H: 0.000 0.500 0.000 [2 per cell]

---

The following is a PBE calculation of MnSi2H2 after structural relaxation, from the Alexandria database.

Values from the calculation:
polymorph energy (0 for the lowest one) = 0.2568 eV/atom
magnetization = 0.00 μB per formula unit

Cell: 5.461 5.461 2.850 Å, 90.00 90.00 90.00°
Space group P4/mbm (No. 127)
Unique sites:
Mn: 0.000 0.000 0.000 [2 per cell]
Si: 0.153 0.347 0.500 [4 per cell]
H: 0.198 0.698 0.000 [4 per cell]